(1)
DFT (GGA-PBE) results for Hf3TiC after structural relaxation.

Values from the calculation:
As for the volume: 18.35 A^3/atom. The value obtained for the total energy is -9.6357 eV per atom.

a b c (Å): 4.5106 4.5106 4.5106
angles (deg): 90.00 90.00 90.00
Last column: nearest neighbours and their distance in Å.
Fractional coordinates of all 5 atoms:
1 Hf 0.0000 0.0000 0.5000  2 C 2.26
2 Hf 0.0000 0.5000 0.0000  2 C 2.26
3 Hf 0.5000 0.0000 0.0000  2 C 2.26
4 Ti 0.5000 0.5000 0.5000  12 Hf 3.19
5 C 0.0000 0.0000 0.0000  6 Hf 2.26

***

(2)
DFT (GGA-PBE) results for Hf2TiC after structural relaxation.

Values from the calculation:
As for the volume: 17.69 A^3/atom. The value obtained for the total energy is -9.2681 eV per atom.

a b c (Å): 6.1769 6.1769 6.1769
angles (deg): 96.61 96.61 140.34
Last column: nearest neighbours and their distance in Å.
Fractional coordinates of all 8 atoms:
1 Hf 0.3750 0.0155 0.1405  2 C 2.30
2 Hf 0.7655 0.6250 0.6405  2 C 2.30
3 Hf 0.8750 0.2345 0.8595  2 C 2.30
4 Hf 0.9845 0.1250 0.3595  2 C 2.30
5 Ti 0.2500 0.7500 0.5000  2 C 2.10
6 Ti 0.5000 0.5000 0.0000  2 C 2.10
7 C 0.0000 0.0000 0.0000  2 Ti 2.10, 4 Hf 2.30
8 C 0.7500 0.2500 0.5000  2 Ti 2.10, 4 Hf 2.30

***

(3)
DFT (GGA-PBE) results for HfTi2C after structural relaxation.

Values from the calculation:
As for the volume: 15.71 A^3/atom. The value obtained for the total energy is -9.1702 eV per atom.

a b c (Å): 4.9555 4.9555 3.1003
angles (deg): 90.00 90.00 124.39
Last column: nearest neighbours and their distance in Å.
Fractional coordinates of all 4 atoms:
1 Hf 0.0000 0.0000 0.0000  2 C 2.31
2 Ti 0.3383 0.6617 0.5000  2 C 2.10
3 Ti 0.6617 0.3383 0.5000  2 C 2.10
4 C 0.5000 0.5000 0.0000  4 Ti 2.10, 2 Hf 2.31

***

(4)
DFT (GGA-PBE) results for HfTi2C after structural relaxation.

Values from the calculation:
As for the volume: 18.70 A^3/atom. The value obtained for the total energy is -8.3148 eV per atom.

a b c (Å): 5.9023 5.9023 5.9023
angles (deg): 117.94 117.94 93.60
Last column: nearest neighbours and their distance in Å.
Fractional coordinates of all 8 atoms:
1 Hf 0.0000 0.0000 0.0000  4 Ti 3.02
2 Hf 0.7500 0.2500 0.5000  4 Ti 3.02
3 Ti 0.2698 0.6250 0.1448  2 C 1.93
4 Ti 0.3750 0.5198 0.6448  2 C 1.93
5 Ti 0.4802 0.1250 0.8552  2 C 1.93
6 Ti 0.8750 0.7302 0.3552  2 C 1.93
7 C 0.2500 0.7500 0.5000  4 Ti 1.93
8 C 0.5000 0.5000 0.0000  4 Ti 1.93

***

(5)
DFT (GGA-PBE) results for HfTi2C after structural relaxation.

Values from the calculation:
As for the volume: 15.48 A^3/atom. The value obtained for the total energy is -9.1543 eV per atom.

a b c (Å): 7.7896 7.7896 7.7896
angles (deg): 22.73 22.73 22.73
Last column: nearest neighbours and their distance in Å.
Fractional coordinates of all 4 atoms:
1 Hf 0.0000 0.0000 0.0000  6 Hf 3.07, 6 Ti 3.16
2 Ti 0.2186 0.2186 0.2186  3 C 2.13
3 Ti 0.7814 0.7814 0.7814  3 C 2.13
4 C 0.5000 0.5000 0.5000  6 Ti 2.13

***

(6)
DFT (GGA-PBE) results for Hf2TiC3 after structural relaxation.

Values from the calculation:
As for the volume: 11.86 A^3/atom. The value obtained for the total energy is -10.0974 eV per atom.

a b c (Å): 6.4394 4.5632 9.6834
angles (deg): 90.00 90.00 90.00
Last column: nearest neighbours and their distance in Å.
Fractional coordinates of all 24 atoms:
1 Hf 0.1248 0.2500 0.2502  6 C 2.27-2.33
2 Hf 0.1275 0.2500 0.5834  6 C 2.27-2.30
3 Hf 0.3725 0.7500 0.0834  6 C 2.27-2.30
4 Hf 0.3752 0.7500 0.7502  6 C 2.27-2.33
5 Hf 0.6248 0.2500 0.2498  6 C 2.27-2.33
6 Hf 0.6275 0.2500 0.9166  6 C 2.27-2.30
7 Hf 0.8725 0.7500 0.4166  6 C 2.27-2.30
8 Hf 0.8752 0.7500 0.7498  6 C 2.27-2.33
9 Ti 0.1222 0.2500 0.9180  6 C 2.21-2.31
10 Ti 0.3778 0.7500 0.4180  6 C 2.21-2.31
11 Ti 0.6222 0.2500 0.5820  6 C 2.21-2.31
12 Ti 0.8778 0.7500 0.0820  6 C 2.21-2.31
13 C 0.1192 0.7500 0.9197  3 Ti 2.21-2.28, 3 Hf 2.27-2.33
14 C 0.1237 0.7500 0.2498  2 Ti 2.27-2.31, 4 Hf 2.27-2.29
15 C 0.1298 0.7500 0.5808  1 Ti 2.24, 5 Hf 2.28-2.32
16 C 0.3702 0.2500 0.0808  1 Ti 2.24, 5 Hf 2.28-2.32
17 C 0.3763 0.2500 0.7498  2 Ti 2.27-2.31, 4 Hf 2.27-2.29
18 C 0.3808 0.2500 0.4197  3 Ti 2.21-2.28, 3 Hf 2.27-2.33
19 C 0.6192 0.7500 0.5803  3 Ti 2.21-2.28, 3 Hf 2.27-2.33
20 C 0.6237 0.7500 0.2502  2 Ti 2.27-2.31, 4 Hf 2.27-2.29
21 C 0.6298 0.7500 0.9192  1 Ti 2.24, 5 Hf 2.28-2.32
22 C 0.8702 0.2500 0.4192  1 Ti 2.24, 5 Hf 2.28-2.32
23 C 0.8763 0.2500 0.7502  2 Ti 2.27-2.31, 4 Hf 2.27-2.29
24 C 0.8808 0.2500 0.0803  3 Ti 2.21-2.28, 3 Hf 2.27-2.33

***

(7)
DFT (GGA-PBE) results for HfTi2C2 after structural relaxation.

Values from the calculation:
As for the volume: 13.24 A^3/atom. The value obtained for the total energy is -9.5616 eV per atom.

a b c (Å): 7.8101 7.8101 7.8101
angles (deg): 23.44 23.44 23.44
Last column: nearest neighbours and their distance in Å.
Fractional coordinates of all 5 atoms:
1 Hf 0.0000 0.0000 0.0000  6 C 2.32
2 Ti 0.2245 0.2245 0.2245  3 C 2.11
3 Ti 0.7755 0.7755 0.7755  3 C 2.11
4 C 0.3959 0.3959 0.3959  3 Ti 2.11, 3 Hf 2.32
5 C 0.6041 0.6041 0.6041  3 Ti 2.11, 3 Hf 2.32

***

(8)
DFT (GGA-PBE) results for Hf2TiC2 after structural relaxation.

Values from the calculation:
As for the volume: 14.13 A^3/atom. The value obtained for the total energy is -10.0090 eV per atom.

a b c (Å): 5.6521 5.6521 6.3918
angles (deg): 110.17 110.17 48.35
Last column: nearest neighbours and their distance in Å.
Fractional coordinates of all 10 atoms:
1 Hf 0.0153 0.0153 0.2509  4 C 2.21-2.32
2 Hf 0.3319 0.3319 0.9139  5 C 2.26-2.36
3 Hf 0.6681 0.6681 0.0861  5 C 2.26-2.36
4 Hf 0.9847 0.9847 0.7491  4 C 2.21-2.32
5 Ti 0.3468 0.3468 0.4042  3 C 2.11-2.14
6 Ti 0.6532 0.6532 0.5958  3 C 2.11-2.14
7 C 0.1707 0.1707 0.0890  1 Ti 2.14, 5 Hf 2.21-2.33
8 C 0.4958 0.4958 0.7385  2 Ti 2.11-2.14, 4 Hf 2.26-2.36
9 C 0.5042 0.5042 0.2615  2 Ti 2.11-2.14, 4 Hf 2.26-2.36
10 C 0.8293 0.8293 0.9110  1 Ti 2.14, 5 Hf 2.21-2.33

***

(9)
DFT (GGA-PBE) results for Hf2TiC3 after structural relaxation.

Values from the calculation:
As for the volume: 14.02 A^3/atom. The value obtained for the total energy is -9.8538 eV per atom.

a b c (Å): 6.5523 6.5523 4.5541
angles (deg): 90.00 90.00 59.36
Last column: nearest neighbours and their distance in Å.
Fractional coordinates of all 12 atoms:
1 Hf 0.0078 0.6653 0.5000  5 C 2.18-2.30
2 Hf 0.3347 0.9922 0.5000  5 C 2.18-2.30
3 Hf 0.6653 0.0078 0.0000  5 C 2.18-2.30
4 Hf 0.9922 0.3347 0.0000  5 C 2.18-2.30
5 Ti 0.3385 0.6615 0.0021  4 C 2.05-2.22
6 Ti 0.6615 0.3385 0.5021  4 C 2.05-2.22
7 C 0.0121 0.6658 0.9946  1 Ti 2.12, 4 Hf 2.23-2.30
8 C 0.3342 0.9879 0.9946  1 Ti 2.12, 4 Hf 2.23-2.30
9 C 0.3456 0.6544 0.4886  2 Ti 2.05-2.22, 2 Hf 2.18
10 C 0.6544 0.3456 0.9886  2 Ti 2.05-2.22, 2 Hf 2.18
11 C 0.6658 0.0121 0.4946  1 Ti 2.12, 4 Hf 2.23-2.30
12 C 0.9879 0.3342 0.4946  1 Ti 2.12, 4 Hf 2.23-2.30

***

(10)
DFT (GGA-PBE) results for HfTi2TlC after structural relaxation.

Values from the calculation:
As for the volume: 16.54 A^3/atom. The value obtained for the total energy is -7.8728 eV per atom.

a b c (Å): 4.2856 4.2856 4.5030
angles (deg): 90.00 90.00 90.00
Last column: nearest neighbours and their distance in Å.
Fractional coordinates of all 5 atoms:
1 Hf 0.0000 0.0000 0.0000  2 C 2.25
2 Ti 0.0000 0.5000 0.5000  2 C 2.14
3 Ti 0.5000 0.0000 0.5000  2 C 2.14
4 Tl 0.5000 0.5000 0.0000  4 Hf 3.03, 8 Ti 3.11
5 C 0.0000 0.0000 0.5000  4 Ti 2.14, 2 Hf 2.25

***

(11)
DFT (GGA-PBE) results for HfUTi2C4 after structural relaxation.

Values from the calculation:
As for the volume: 12.12 A^3/atom. The value obtained for the total energy is -9.8503 eV per atom.

a b c (Å): 5.6192 3.2291 5.6602
angles (deg): 90.00 109.26 90.00
Last column: nearest neighbours and their distance in Å.
Fractional coordinates of all 8 atoms:
1 Hf 0.0000 0.0000 0.0000  6 C 2.33-2.34
2 U 0.0000 0.5000 0.5000  6 C 2.31-2.36
3 Ti 0.5000 0.0000 0.5000  6 C 2.26
4 Ti 0.5000 0.5000 0.0000  6 C 2.23-2.29
5 C 0.2588 0.5000 0.2565  3 Ti 2.26-2.29, 1 U 2.31, 2 Hf 2.33
6 C 0.2682 0.0000 0.7598  3 Ti 2.23-2.26, 1 Hf 2.34, 2 U 2.36
7 C 0.7318 0.0000 0.2402  3 Ti 2.23-2.26, 1 Hf 2.34, 2 U 2.36
8 C 0.7412 0.5000 0.7435  3 Ti 2.26-2.29, 1 U 2.31, 2 Hf 2.33

***

(12)
DFT (GGA-PBE) results for Hf2TiZnC after structural relaxation.

Values from the calculation:
As for the volume: 16.62 A^3/atom. The value obtained for the total energy is -8.1036 eV per atom.

a b c (Å): 4.4514 4.4514 4.1929
angles (deg): 90.00 90.00 90.00
Last column: nearest neighbours and their distance in Å.
Fractional coordinates of all 5 atoms:
1 Hf 0.0000 0.5000 0.0000  2 C 2.23
2 Hf 0.5000 0.0000 0.0000  2 C 2.23
3 Ti 0.0000 0.0000 0.5000  2 C 2.10
4 Zn 0.5000 0.5000 0.5000  8 Hf 3.06, 4 Ti 3.15
5 C 0.0000 0.0000 0.0000  2 Ti 2.10, 4 Hf 2.23